No. 1
# GGA-PBE PrDy2Y6Er, relaxed
data_PrDy2Y6Er
_chemical_formula_sum 'Pr2 Dy4 Y12 Er2'
_cell_length_a 9.755
_cell_length_b 8.762
_cell_length_c 8.762
_cell_angle_alpha 117.27
_cell_angle_beta 94.94
_cell_angle_gamma 94.94
_symmetry_space_group_name_H-M 'P 1'
_symmetry_Int_Tables_number 1
_symmetry_space_group_name_Hall 'P 1'
loop_
_atom_site_label
_atom_site_fract_x
_atom_site_fract_y
_atom_site_fract_z
Y1 0.682 0.025 0.576
Er1 0.250 0.978 0.022
Y2 0.380 0.502 0.295
Y3 0.556 0.751 0.119
Dy1 0.455 0.810 0.711
Pr1 0.750 0.596 0.404
Y4 0.444 0.249 0.881
Dy2 0.045 0.289 0.190
Y5 0.318 0.975 0.424
Pr2 0.250 0.404 0.596
Y6 0.056 0.119 0.751
Y7 0.944 0.881 0.249
Er2 0.750 0.022 0.978
Dy3 0.545 0.190 0.289
Y8 0.620 0.498 0.705
Y9 0.880 0.295 0.502
Y10 0.818 0.424 0.975
Y11 0.120 0.705 0.498
Dy4 0.955 0.711 0.810
Y12 0.182 0.576 0.025
# E_form: 0.122 eV per atom
# SG: C2/c
# D(E_F): 1.57 states/eV/atom
# M_tot: 0.00 μB/f.u.


No. 2
# GGA-PBE Pr2DyYEr2, relaxed
data_Pr2DyYEr2
_chemical_formula_sum 'Pr4 Dy2 Y2 Er4'
_cell_length_a 5.670
_cell_length_b 7.057
_cell_length_c 9.830
_cell_angle_alpha 90.00
_cell_angle_beta 90.00
_cell_angle_gamma 90.00
_symmetry_space_group_name_H-M 'P 1'
_symmetry_Int_Tables_number 1
_symmetry_space_group_name_Hall 'P 1'
loop_
_atom_site_label
_atom_site_fract_x
_atom_site_fract_y
_atom_site_fract_z
Dy1 0.500 0.757 0.340
Y1 0.000 0.507 0.500
Dy2 0.500 0.257 0.660
Er1 0.500 0.257 0.333
Pr1 0.500 0.508 0.000
Pr2 0.500 0.008 0.000
Pr3 0.000 0.258 0.176
Pr4 0.000 0.758 0.824
Er2 0.500 0.757 0.667
Er3 0.000 0.758 0.165
Y2 0.000 0.007 0.500
Er4 0.000 0.258 0.835
# E_form: 0.065 eV per atom
# SG: Pmma
# D(E_F): 1.58 states/eV/atom
# M_tot: 0.00 μB/f.u.


No. 3
# GGA-PBE PrDy2Y4Er2, relaxed
data_PrDy2Y4Er2
_chemical_formula_sum 'Pr1 Dy2 Y4 Er2'
_cell_length_a 3.599
_cell_length_b 9.510
_cell_length_c 9.561
_cell_angle_alpha 115.23
_cell_angle_beta 90.00
_cell_angle_gamma 100.91
_symmetry_space_group_name_H-M 'P 1'
_symmetry_Int_Tables_number 1
_symmetry_space_group_name_Hall 'P 1'
loop_
_atom_site_label
_atom_site_fract_x
_atom_site_fract_y
_atom_site_fract_z
Er1 0.668 0.337 0.000
Y1 0.519 0.038 0.336
Er2 0.332 0.663 0.000
Y2 0.814 0.628 0.665
Pr1 0.000 0.000 0.000
Y3 0.481 0.962 0.664
Y4 0.186 0.372 0.335
Dy1 0.149 0.297 0.668
Dy2 0.851 0.703 0.332
# E_form: 0.001 eV per atom
# SG: C2/m
# D(E_F): 1.42 states/eV/atom
# M_tot: 0.00 μB/f.u.


No. 4
# GGA-PBE Pr2Dy2YEr, relaxed
data_Pr2Dy2YEr
_chemical_formula_sum 'Pr4 Dy4 Y2 Er2'
_cell_length_a 5.673
_cell_length_b 7.066
_cell_length_c 9.852
_cell_angle_alpha 90.00
_cell_angle_beta 90.00
_cell_angle_gamma 90.00
_symmetry_space_group_name_H-M 'P 1'
_symmetry_Int_Tables_number 1
_symmetry_space_group_name_Hall 'P 1'
loop_
_atom_site_label
_atom_site_fract_x
_atom_site_fract_y
_atom_site_fract_z
Dy1 0.500 0.758 0.667
Dy2 0.500 0.258 0.333
Pr1 0.500 0.008 0.000
Pr2 0.500 0.508 0.000
Dy3 0.000 0.758 0.164
Dy4 0.000 0.258 0.836
Y1 0.000 0.507 0.500
Pr3 0.000 0.258 0.176
Y2 0.000 0.007 0.500
Pr4 0.000 0.758 0.824
Er1 0.500 0.757 0.340
Er2 0.500 0.257 0.660
# E_form: 0.063 eV per atom
# SG: Pmma
# D(E_F): 1.54 states/eV/atom
# M_tot: 0.00 μB/f.u.


Question: Which formula does entry 1 have?
Answer: PrDy2Y6Er